[1]
SrBeTeO6: optimized geometry, GGA-PBE.

Cell and atoms, written as extended XYZ:
```
18
Lattice="5.009 0.000 0.000 -2.504 4.338 0.000 0.000 0.000 11.081" Properties=species:S:1:pos:R:3 pbc="T T T"
Sr 0.000 0.000 5.540
Sr 0.000 0.000 0.000
O -0.613 4.293 7.230
O 3.118 0.045 3.850
O -1.520 2.722 9.391
O 4.024 1.615 1.690
O 0.985 1.615 3.850
O 3.411 2.677 3.850
O 1.520 2.722 7.230
O -0.907 1.660 7.230
O 0.907 1.660 9.391
O 1.598 2.677 1.690
O 1.891 0.045 1.690
O 0.613 4.293 9.391
Be 2.504 1.446 2.770
Be 0.000 2.892 8.310
Te 0.000 2.892 2.770
Te 2.504 1.446 8.310
```

Total magnetization in μB per cell: 4.02
Formation energy from raw total energies in eV/atom: -1.45


[2]
La2RuCl: optimized geometry, GGA-PBE.

Cell and atoms, written as extended XYZ:
```
4
Lattice="7.462 -0.001 -0.003 -3.601 4.263 0.010 0.261 1.408 3.173" Properties=species:S:1:pos:R:3 pbc="T T T"
La 3.861 0.703 1.585
La 0.000 0.000 0.000
Cl 1.931 2.131 0.003
Ru -1.670 2.835 1.592
```

Energy above the lowest structure with this stoichiometry in meV per atom: 263.2
Total magnetization in μB per cell: 0.00
Formation energy from raw total energies in eV/atom: -0.75


[3]
Co2Mo3N: optimized geometry, GGA-PBE.

Cell and atoms, written as extended XYZ:
```
24
Lattice="-0.715 -3.340 -5.724 3.558 -5.051 2.503 -5.591 -2.787 2.324" Properties=species:S:1:pos:R:3 pbc="T T T"
Mo 0.763 -3.300 0.267
Mo -0.843 -6.536 3.541
Mo 1.598 -6.600 -3.140
Mo -2.452 -5.125 -1.555
Mo -5.221 -5.026 -1.859
Mo 0.717 -8.517 -1.319
Mo -3.811 -7.297 -2.651
Mo -2.746 -7.937 2.063
Mo -1.897 -2.692 0.837
Mo -1.004 -2.700 -1.803
Mo 0.161 -5.821 -0.882
Mo -1.756 -5.510 1.116
Co -1.872 -7.611 -0.611
Co -1.051 -7.184 -2.904
Co 1.001 -5.630 1.755
Co -0.190 -0.771 -0.062
Co -0.178 -7.727 1.185
Co -4.079 -6.672 -0.015
Co -4.163 -4.262 0.530
Co -0.462 -4.851 -3.469
N -2.758 -6.013 2.882
N -3.675 -5.295 -3.243
N -1.031 -4.191 -0.337
N 1.967 -6.855 -1.097
```

Total magnetization in μB per cell: 7.84
Formation energy from raw total energies in eV/atom: -0.18